Record 1
Here is a geometry-optimized LiTl4Hg2 structure from Alexandria. Energies are from GGA-PBE.

Cell lengths 4.5959, 6.5745, 6.5745 Å; angles 84.49, 90.00, 90.00 degrees
Atoms (fractional coordinates):
1 Li 0.0000 0.0000 0.0000
2 Tl 0.0000 0.0000 0.5000
3 Tl 0.0000 0.5000 0.0000
4 Tl 0.5000 0.3178 0.6822
5 Tl 0.5000 0.6822 0.3178
6 Hg 0.5000 0.1866 0.1866
7 Hg 0.5000 0.8134 0.8134

Record 2
Here is a geometry-optimized Li2TlHg8 structure from Alexandria. Energies are from GGA-PBE.

Cell lengths 6.2292, 6.3969, 7.6780 Å; angles 97.33, 113.93, 90.00 degrees
Atoms (fractional coordinates):
1 Li 0.7531 0.7152 0.5061
2 Li 0.2469 0.2848 0.4939
3 Tl 0.0000 0.0000 0.0000
4 Hg 0.8550 0.4361 0.2097
5 Hg 0.6453 0.5639 0.7903
6 Hg 0.7688 0.1717 0.5375
7 Hg 0.2312 0.8283 0.4625
8 Hg 0.3547 0.4361 0.2097
9 Hg 0.1450 0.5639 0.7903
10 Hg 0.5769 0.8629 0.1539
11 Hg 0.4231 0.1371 0.8461

Record 3
Here is a geometry-optimized Li2Tl5Hg structure from Alexandria. Energies are from GGA-PBE.

Cell lengths 3.3964, 6.1562, 20.5706 Å; angles 90.00, 90.00, 106.01 degrees
Atoms (fractional coordinates):
1 Li 0.8201 0.6401 0.3436
2 Li 0.8201 0.6401 0.1564
3 Li 0.1799 0.3599 0.6564
4 Li 0.1799 0.3599 0.8436
5 Tl 0.9079 0.8159 0.8886
6 Tl 0.9079 0.8159 0.6114
7 Tl 0.3658 0.7316 0.4643
8 Tl 0.3658 0.7316 0.0357
9 Tl 0.4786 0.9572 0.2500
10 Tl 0.5214 0.0428 0.7500
11 Tl 0.6342 0.2684 0.5357
12 Tl 0.6342 0.2684 0.9643
13 Tl 0.0921 0.1841 0.1114
14 Tl 0.0921 0.1841 0.3886
15 Hg 0.7867 0.5734 0.7500
16 Hg 0.2133 0.4266 0.2500

Record 4
Here is a geometry-optimized Li3Tl2Hg3 structure from Alexandria. Energies are from GGA-PBE.

Cell lengths 3.3102, 7.8906, 7.8906 Å; angles 120.00, 90.00, 90.00 degrees
Atoms (fractional coordinates):
1 Li 0.5000 0.6478 0.6478
2 Li 0.5000 0.0000 0.3522
3 Li 0.5000 0.3522 0.0000
4 Tl 0.0000 0.6667 0.3333
5 Tl 0.0000 0.3333 0.6667
6 Hg 0.0000 0.2347 0.2347
7 Hg 0.0000 0.0000 0.7653
8 Hg 0.0000 0.7653 0.0000

| no. | ΔE_f (eV per formula unit) |
| --- | --- |
| 1 | -0.30 |
| 2 | -1.25 |
| 3 | -0.81 |
| 4 | -1.63 |